[1]
MnSbSe2: relaxed, PBE-GGA.

Structure (CIF):
```
data_MnSbSe2
_cell_length_a 8.6657
_cell_length_b 8.6657
_cell_length_c 5.4781
_cell_angle_alpha 90.00
_cell_angle_beta 90.00
_cell_angle_gamma 90.00
_symmetry_space_group_name_H-M 'I 4/m c m'
_symmetry_Int_Tables_number 140
_symmetry_space_group_name_Hall '-I 4 2c'
loop_
_atom_site_label
_atom_site_fract_x
_atom_site_fract_y
_atom_site_fract_z
_atom_site_occupancy
Mn1 0.0000 0.5000 0.2500 1
Sb1 0.0000 0.0000 0.2500 1
Se1 0.1478 0.3522 0.0000 1
```

[2]
Mn2SbSe: relaxed, PBE-GGA.

Structure (CIF):
```
data_Mn2SbSe
_cell_length_a 3.8342
_cell_length_b 3.3411
_cell_length_c 11.9915
_cell_angle_alpha 90.00
_cell_angle_beta 90.00
_cell_angle_gamma 90.00
_symmetry_space_group_name_H-M 'A m m 2'
_symmetry_Int_Tables_number 38
loop_
_symmetry_equiv_pos_as_xyz
'x,y,z'
'-x,-y,z'
'-x,y,z'
'x,-y,z'
'x,y+1/2,z+1/2'
'-x,-y+1/2,z+1/2'
'-x,y+1/2,z+1/2'
'x,-y+1/2,z+1/2'
loop_
_atom_site_label
_atom_site_fract_x
_atom_site_fract_y
_atom_site_fract_z
_atom_site_occupancy
Mn1 0.0000 0.0000 0.0000 1
Mn2 0.5000 0.0000 0.1700 1
Sb1 0.5000 0.0000 0.4022 1
Se1 0.0000 0.0000 0.6587 1
```

[3]
MnSbSe2: relaxed, PBE-GGA.

Structure (CIF):
```
data_MnSbSe2
_cell_length_a 5.1337
_cell_length_b 6.1209
_cell_length_c 6.4177
_cell_angle_alpha 86.69
_cell_angle_beta 67.43
_cell_angle_gamma 66.78
_symmetry_space_group_name_H-M 'P -1'
_symmetry_Int_Tables_number 2
loop_
_symmetry_equiv_pos_as_xyz
'x,y,z'
'-x,-y,-z'
loop_
_atom_site_label
_atom_site_fract_x
_atom_site_fract_y
_atom_site_fract_z
_atom_site_occupancy
Mn1 0.1980 0.1075 0.4955 1
Sb1 0.1006 0.5231 0.7329 1
Se1 0.3129 0.7873 0.2527 1
Se2 0.3435 0.8719 0.7607 1
```

[4]
MnSbSe2: relaxed, PBE-GGA.

Structure (CIF):
```
data_MnSbSe2
_cell_length_a 8.8878
_cell_length_b 7.8694
_cell_length_c 6.1091
_cell_angle_alpha 90.00
_cell_angle_beta 113.47
_cell_angle_gamma 90.00
_symmetry_space_group_name_H-M 'C 1 2/c 1'
_symmetry_Int_Tables_number 15
loop_
_symmetry_equiv_pos_as_xyz
'x,y,z'
'-x,-y,-z'
'-x,y,-z+1/2'
'x,-y,z+1/2'
'x+1/2,y+1/2,z'
'-x+1/2,-y+1/2,-z'
'-x+1/2,y+1/2,-z+1/2'
'x+1/2,-y+1/2,z+1/2'
loop_
_atom_site_label
_atom_site_fract_x
_atom_site_fract_y
_atom_site_fract_z
_atom_site_occupancy
Mn1 0.0000 0.0904 0.2500 1
Sb1 0.0000 0.4427 0.2500 1
Se1 0.1673 0.1332 0.6714 1
```

[5]
Mn2SbSe: relaxed, PBE-GGA.

Structure (CIF):
```
data_Mn2SbSe
_cell_length_a 4.6348
_cell_length_b 4.6348
_cell_length_c 3.2764
_cell_angle_alpha 90.00
_cell_angle_beta 90.00
_cell_angle_gamma 90.00
_symmetry_space_group_name_H-M 'P 4/m m m'
_symmetry_Int_Tables_number 123
_symmetry_space_group_name_Hall '-P 4 2'
loop_
_atom_site_label
_atom_site_fract_x
_atom_site_fract_y
_atom_site_fract_z
_atom_site_occupancy
Mn1 0.0000 0.5000 0.0000 1
Sb1 0.0000 0.0000 0.5000 1
Se1 0.5000 0.5000 0.5000 1
```

[6]
MnSbSe3: relaxed, PBE-GGA.

Structure (CIF):
```
data_MnSbSe3
_cell_length_a 6.7333
_cell_length_b 6.7333
_cell_length_c 6.7141
_cell_angle_alpha 90.00
_cell_angle_beta 90.00
_cell_angle_gamma 120.00
_symmetry_space_group_name_H-M 'P -3 1 m'
_symmetry_Int_Tables_number 162
_symmetry_space_group_name_Hall '-P 3 2'
loop_
_atom_site_label
_atom_site_fract_x
_atom_site_fract_y
_atom_site_fract_z
_atom_site_occupancy
Mn1 0.3333 0.6667 0.0000 1
Sb1 0.0000 0.0000 0.2216 1
Se1 0.0000 0.4114 0.7773 1
```

[7]
MnSbSe2: relaxed, PBE-GGA.

Structure (CIF):
```
data_MnSbSe2
_cell_length_a 3.5795
_cell_length_b 3.5795
_cell_length_c 7.6540
_cell_angle_alpha 90.00
_cell_angle_beta 90.00
_cell_angle_gamma 90.00
_symmetry_space_group_name_H-M 'P 4 m m'
_symmetry_Int_Tables_number 99
loop_
_symmetry_equiv_pos_as_xyz
'x,y,z'
'-y,x,z'
'-x,-y,z'
'y,-x,z'
'-x,y,z'
'y,x,z'
'x,-y,z'
'-y,-x,z'
loop_
_atom_site_label
_atom_site_fract_x
_atom_site_fract_y
_atom_site_fract_z
_atom_site_occupancy
Mn1 0.0000 0.0000 0.0000 1
Sb1 0.5000 0.5000 0.4757 1
Se1 0.0000 0.0000 0.6797 1
Se2 0.5000 0.5000 0.0795 1
```

[8]
MnSbSe2: relaxed, PBE-GGA.

Structure (CIF):
```
data_MnSbSe2
_cell_length_a 8.9852
_cell_length_b 3.3761
_cell_length_c 13.5594
_cell_angle_alpha 90.00
_cell_angle_beta 90.00
_cell_angle_gamma 90.00
_symmetry_space_group_name_H-M 'P n m a'
_symmetry_Int_Tables_number 62
loop_
_symmetry_equiv_pos_as_xyz
'x,y,z'
'-x,-y,-z'
'-x+1/2,-y,z+1/2'
'x+1/2,y,-z+1/2'
'x+1/2,-y+1/2,-z+1/2'
'-x+1/2,y+1/2,z+1/2'
'-x,y+1/2,-z'
'x,-y+1/2,z'
loop_
_atom_site_label
_atom_site_fract_x
_atom_site_fract_y
_atom_site_fract_z
_atom_site_occupancy
Mn1 0.0514 0.2500 0.0685 1
Sb1 0.0045 0.7500 0.4065 1
Se1 0.1341 0.2500 0.9041 1
Se2 0.2111 0.7500 0.1446 1
```

[9]
Mn2SbSe: relaxed, PBE-GGA.

Structure (CIF):
```
data_Mn2SbSe
_cell_length_a 3.9816
_cell_length_b 5.5138
_cell_length_c 7.2826
_cell_angle_alpha 90.00
_cell_angle_beta 90.00
_cell_angle_gamma 90.00
_symmetry_space_group_name_H-M 'C m m m'
_symmetry_Int_Tables_number 65
_symmetry_space_group_name_Hall '-C 2 2'
loop_
_atom_site_label
_atom_site_fract_x
_atom_site_fract_y
_atom_site_fract_z
_atom_site_occupancy
Mn1 0.0000 0.0000 0.2279 1
Sb1 0.0000 0.5000 0.5000 1
Se1 0.0000 0.5000 0.0000 1
```

[10]
MnSbSe2: relaxed, PBE-GGA.

Structure (CIF):
```
data_MnSbSe2
_cell_length_a 6.2758
_cell_length_b 12.2270
_cell_length_c 5.9882
_cell_angle_alpha 90.00
_cell_angle_beta 109.09
_cell_angle_gamma 90.00
_symmetry_space_group_name_H-M 'C 1 2/c 1'
_symmetry_Int_Tables_number 15
loop_
_symmetry_equiv_pos_as_xyz
'x,y,z'
'-x,-y,-z'
'-x,y,-z+1/2'
'x,-y,z+1/2'
'x+1/2,y+1/2,z'
'-x+1/2,-y+1/2,-z'
'-x+1/2,y+1/2,-z+1/2'
'x+1/2,-y+1/2,z+1/2'
loop_
_atom_site_label
_atom_site_fract_x
_atom_site_fract_y
_atom_site_fract_z
_atom_site_occupancy
Mn1 0.0000 0.2482 0.2500 1
Sb1 0.0000 0.2727 0.7500 1
Se1 0.1962 0.1153 0.5663 1
```

[11]
Mn4SbSe8: relaxed, PBE-GGA.

Structure (CIF):
```
data_Mn4SbSe8
_cell_length_a 7.3455
_cell_length_b 7.3455
_cell_length_c 20.1903
_cell_angle_alpha 90.00
_cell_angle_beta 90.00
_cell_angle_gamma 120.00
_symmetry_space_group_name_H-M 'R -3 m'
_symmetry_Int_Tables_number 166
_symmetry_space_group_name_Hall '-R 3 2"'
loop_
_atom_site_label
_atom_site_fract_x
_atom_site_fract_y
_atom_site_fract_z
_atom_site_occupancy
Mn1 0.0000 0.0000 0.0000 1
Mn2 0.0000 0.5000 0.0000 1
Sb1 0.0000 0.0000 0.5000 1
Se1 0.0000 0.0000 0.2660 1
Se2 0.0013 0.5006 0.2619 1
```

[12]
Mn3SbSe6: relaxed, PBE-GGA.

Structure (CIF):
```
data_Mn3SbSe6
_cell_length_a 10.7382
_cell_length_b 3.7853
_cell_length_c 13.1039
_cell_angle_alpha 90.00
_cell_angle_beta 104.10
_cell_angle_gamma 90.00
_symmetry_space_group_name_H-M 'P 1 21/m 1'
_symmetry_Int_Tables_number 11
loop_
_symmetry_equiv_pos_as_xyz
'x,y,z'
'-x,-y,-z'
'-x,y+1/2,-z'
'x,-y+1/2,z'
loop_
_atom_site_label
_atom_site_fract_x
_atom_site_fract_y
_atom_site_fract_z
_atom_site_occupancy
Mn1 0.0087 0.2500 0.1132 1
Mn2 0.1208 0.2500 0.6072 1
Mn3 0.3767 0.7500 0.5296 1
Sb1 0.3223 0.2500 0.9654 1
Se1 0.0939 0.2500 0.7978 1
Se2 0.1252 0.7500 0.4798 1
Se3 0.1520 0.7500 0.0732 1
Se4 0.3600 0.2500 0.6527 1
Se5 0.3852 0.2500 0.4039 1
Se6 0.4256 0.7500 0.8668 1
```

[13]
MnSbSe2: relaxed, PBE-GGA.

Structure (CIF):
```
data_MnSbSe2
_cell_length_a 5.6011
_cell_length_b 9.0456
_cell_length_c 7.4250
_cell_angle_alpha 90.00
_cell_angle_beta 90.00
_cell_angle_gamma 90.00
_symmetry_space_group_name_H-M 'I m a 2'
_symmetry_Int_Tables_number 46
loop_
_symmetry_equiv_pos_as_xyz
'x,y,z'
'-x,-y,z'
'-x+1/2,y,z'
'x+1/2,-y,z'
'x+1/2,y+1/2,z+1/2'
'-x+1/2,-y+1/2,z+1/2'
'-x,y+1/2,z+1/2'
'x,-y+1/2,z+1/2'
loop_
_atom_site_label
_atom_site_fract_x
_atom_site_fract_y
_atom_site_fract_z
_atom_site_occupancy
Mn1 0.0000 0.0000 0.0000 1
Sb1 0.2500 0.0830 0.6941 1
Se1 0.2500 0.1168 0.2220 1
Se2 0.2500 0.7137 0.4619 1
```

[14]
MnSbSe2: relaxed, PBE-GGA.

Structure (CIF):
```
data_MnSbSe2
_cell_length_a 5.7479
_cell_length_b 6.1421
_cell_length_c 6.5978
_cell_angle_alpha 102.72
_cell_angle_beta 104.40
_cell_angle_gamma 111.63
_symmetry_space_group_name_H-M 'P -1'
_symmetry_Int_Tables_number 2
loop_
_symmetry_equiv_pos_as_xyz
'x,y,z'
'-x,-y,-z'
loop_
_atom_site_label
_atom_site_fract_x
_atom_site_fract_y
_atom_site_fract_z
_atom_site_occupancy
Mn1 0.2436 0.3882 0.4924 1
Sb1 0.2496 0.0015 0.6573 1
Se1 0.0561 0.6156 0.2863 1
Se2 0.3971 0.2546 0.2165 1
```

[15]
MnSbSe2: relaxed, PBE-GGA.

Structure (CIF):
```
data_MnSbSe2
_cell_length_a 3.9258
_cell_length_b 6.3227
_cell_length_c 8.5912
_cell_angle_alpha 104.07
_cell_angle_beta 90.14
_cell_angle_gamma 90.06
_symmetry_space_group_name_H-M 'P 1'
_symmetry_Int_Tables_number 1
loop_
_symmetry_equiv_pos_as_xyz
'x,y,z'
loop_
_atom_site_label
_atom_site_fract_x
_atom_site_fract_y
_atom_site_fract_z
_atom_site_occupancy
Mn1 0.0000 0.0000 0.0000 1
Mn2 0.5005 0.4504 0.9847 1
Sb1 0.0008 0.8787 0.4632 1
Sb2 0.5004 0.5683 0.5216 1
Se1 0.0012 0.6881 0.1459 1
Se2 0.4994 0.7621 0.8388 1
Se3 0.5012 0.1970 0.1688 1
Se4 0.9993 0.2535 0.8160 1
```

[16]
MnSbSe2: relaxed, PBE-GGA.

Structure (CIF):
```
data_MnSbSe2
_cell_length_a 3.7696
_cell_length_b 3.7696
_cell_length_c 24.1696
_cell_angle_alpha 90.00
_cell_angle_beta 90.00
_cell_angle_gamma 120.00
_symmetry_space_group_name_H-M 'R 3 m'
_symmetry_Int_Tables_number 160
_symmetry_space_group_name_Hall 'R 3 -2"'
loop_
_atom_site_label
_atom_site_fract_x
_atom_site_fract_y
_atom_site_fract_z
_atom_site_occupancy
Mn1 0.0000 0.0000 0.0000 1
Sb1 0.0000 0.0000 0.2519 1
Se1 0.0000 0.0000 0.5122 1
Se2 0.0000 0.0000 0.7130 1
```

[17]
MnSbSe2: relaxed, PBE-GGA.

Structure (CIF):
```
data_MnSbSe2
_cell_length_a 3.3972
_cell_length_b 3.3972
_cell_length_c 7.0902
_cell_angle_alpha 90.00
_cell_angle_beta 90.00
_cell_angle_gamma 90.00
_symmetry_space_group_name_H-M 'P 4/m m m'
_symmetry_Int_Tables_number 123
_symmetry_space_group_name_Hall '-P 4 2'
loop_
_atom_site_label
_atom_site_fract_x
_atom_site_fract_y
_atom_site_fract_z
_atom_site_occupancy
Mn1 0.0000 0.0000 0.0000 1
Sb1 0.0000 0.0000 0.5000 1
Se1 0.5000 0.5000 0.2106 1
```

[18]
MnSbSe2: relaxed, PBE-GGA.

Structure (CIF):
```
data_MnSbSe2
_cell_length_a 6.5096
_cell_length_b 4.9043
_cell_length_c 9.8687
_cell_angle_alpha 90.00
_cell_angle_beta 90.00
_cell_angle_gamma 90.00
_symmetry_space_group_name_H-M 'P n m a'
_symmetry_Int_Tables_number 62
loop_
_symmetry_equiv_pos_as_xyz
'x,y,z'
'-x,-y,-z'
'-x+1/2,-y,z+1/2'
'x+1/2,y,-z+1/2'
'x+1/2,-y+1/2,-z+1/2'
'-x+1/2,y+1/2,z+1/2'
'-x,y+1/2,-z'
'x,-y+1/2,z'
loop_
_atom_site_label
_atom_site_fract_x
_atom_site_fract_y
_atom_site_fract_z
_atom_site_occupancy
Mn1 0.1157 0.2500 0.0615 1
Sb1 0.1316 0.7500 0.3663 1
Se1 0.0458 0.7500 0.7071 1
Se2 0.1788 0.7500 0.0783 1
```

[19]
MnSbSe2: relaxed, PBE-GGA.

Structure (CIF):
```
data_MnSbSe2
_cell_length_a 14.3503
_cell_length_b 3.4218
_cell_length_c 8.5636
_cell_angle_alpha 90.00
_cell_angle_beta 100.45
_cell_angle_gamma 90.00
_symmetry_space_group_name_H-M 'C 1 2/m 1'
_symmetry_Int_Tables_number 12
loop_
_symmetry_equiv_pos_as_xyz
'x,y,z'
'-x,-y,-z'
'-x,y,-z'
'x,-y,z'
'x+1/2,y+1/2,z'
'-x+1/2,-y+1/2,-z'
'-x+1/2,y+1/2,-z'
'x+1/2,-y+1/2,z'
loop_
_atom_site_label
_atom_site_fract_x
_atom_site_fract_y
_atom_site_fract_z
_atom_site_occupancy
Mn1 0.2224 0.0000 0.3823 1
Sb1 0.0780 0.5000 0.2485 1
Se1 0.1623 0.0000 0.6156 1
Se2 0.1728 0.0000 0.0932 1
```

[20]
Mn2SbSe: relaxed, PBE-GGA.

Structure (CIF):
```
data_Mn2SbSe
_cell_length_a 5.7121
_cell_length_b 5.7121
_cell_length_c 10.3394
_cell_angle_alpha 90.00
_cell_angle_beta 90.00
_cell_angle_gamma 90.00
_symmetry_space_group_name_H-M 'I -4 2 d'
_symmetry_Int_Tables_number 122
_symmetry_space_group_name_Hall 'I -4 2bw'
loop_
_atom_site_label
_atom_site_fract_x
_atom_site_fract_y
_atom_site_fract_z
_atom_site_occupancy
Mn1 0.2155 0.2500 0.1250 1
Sb1 0.0000 0.0000 0.5000 1
Se1 0.0000 0.0000 0.0000 1
```

| no. | calculated volume (Å³ per cell) | ΔE_f (raw) (eV per atom) |
| --- | --- | --- |
| 1 | 411.4 | 0.00 |
| 2 | 153.6 | 0.01 |
| 3 | 170.1 | -0.12 |
| 4 | 391.9 | -0.18 |
| 5 | 70.4 | 0.19 |
| 6 | 263.6 | -0.25 |
| 7 | 98.1 | -0.05 |
| 8 | 411.3 | -0.21 |
| 9 | 159.9 | 0.17 |
| 10 | 434.2 | -0.17 |
| 11 | 943.4 | -0.38 |
| 12 | 516.6 | -0.35 |
| 13 | 376.2 | -0.22 |
| 14 | 196.8 | -0.19 |
| 15 | 206.8 | -0.29 |
| 16 | 297.4 | -0.09 |
| 17 | 81.8 | 0.07 |
| 18 | 315.1 | 0.02 |
| 19 | 413.5 | -0.23 |
| 20 | 337.4 | 0.56 |